Material: BaYOs2
Method: DFT, GGA-PBE
State: optimized geometry

a = 3.1378 Å, b = 4.6248 Å, c = 6.9721 Å
α = 90.00°, β = 99.58°, γ = 90.00°
Last column: nearest neighbours and their distance in Å.
Space group P2/m (No. 10)
Inequivalent atoms, fractional coordinates:
Ba 0.0000 0.0000 0.0000 (multiplicity 1)  2 Ba 3.14, 4 Os 3.49
Y 0.5000 0.0000 0.5000 (multiplicity 1)  4 Os 2.74
Os 0.2472 0.5000 0.6602 (multiplicity 2)  1 Os 2.50, 2 Y 2.74

- energy of formation (eV/atom) = 0.670
- calculated volume (Å³/atom) = 24.9
- excess energy over the best structure of this formula in the dataset (meV per atom) = 566

---

Material: Li3Cr
Method: DFT, GGA-PBE
State: optimized geometry

a = 3.0547 Å, b = 4.7842 Å, c = 4.9439 Å
α = 90.00°, β = 90.00°, γ = 90.00°
Last column: nearest neighbours and their distance in Å.
Space group Pmm2 (No. 25)
Inequivalent atoms, fractional coordinates:
Li 0.0000 0.0000 0.0000 (multiplicity 1)  4 Cr 2.90-2.91, 8 Li 2.91-3.05
Li 0.0000 0.5000 0.3783 (multiplicity 1)  8 Li 2.86-3.05, 4 Cr 2.90
Li 0.5000 0.5000 0.8675 (multiplicity 1)  10 Li 2.86-3.05, 2 Cr 3.00
Cr 0.5000 0.0000 0.5016 (multiplicity 1)  10 Li 2.90-3.00, 2 Cr 3.05

- energy of formation (eV/atom) = 0.370
- calculated volume (Å³/atom) = 18.1
- excess energy over the best structure of this formula in the dataset (meV per atom) = 4